Entry 1:
The following is a PBE calculation of a geometry-optimized LiAc2NiGe2 structure, from the Alexandria database.

Values from the calculation:
* formation enthalpy at 0 K: -0.563 eV/atom
* mass density: 7.7 g/cm3
* DFT total energy: -114.09 eV/cell
* volume: 23.75 A^3/atom

Lattice parameters (Å, degrees): 6.380 14.029 6.368 90.00 90.00 90.00
Space group Ibam (No. 72)
Symmetry-distinct sites (fractional):
Li 0.000 0.000 0.250
Ac 0.244 0.344 0.000
Ni 0.000 0.500 0.250
Ge 0.237 0.406 0.500


Entry 2:
The following is a PBE calculation of a geometry-optimized PaSnAu3 structure, from the Alexandria database.

Values from the calculation:
* formation enthalpy at 0 K: -0.304 eV/atom
* mass density: 14.5 g/cm3
* DFT total energy: -99.41 eV/cell
* energy above the lowest structure with this stoichiometry: 0 meV per atom
* volume: 21.62 A^3/atom

Lattice parameters (Å, degrees): 3.157 27.773 4.931 90.00 90.00 90.00
Space group Cmcm (No. 63)
Symmetry-distinct sites (fractional):
Pa 0.000 0.075 0.250
Sn 0.000 0.214 0.750
Au 0.000 0.323 0.750
Au 0.000 0.376 0.250
Au 0.000 0.476 0.250


Entry 3:
The following is a PBE calculation of a geometry-optimized Cu2PO2 structure, from the Alexandria database.

Values from the calculation:
* mass density: 6.1 g/cm3
* DFT total energy: -45.45 eV/cell
* volume: 10.35 A^3/atom
* formation energy (no corrections): 0.158 eV/atom

Lattice parameters (Å, degrees): 6.261 6.261 2.639 90.00 90.00 90.00
Space group P4/mbm (No. 127)
Symmetry-distinct sites (fractional):
Cu 0.147 0.353 0.000
P 0.000 0.000 0.000
O 0.153 0.653 0.500


Entry 4:
The following is a PBE calculation of a geometry-optimized Cs3BSe3 structure, from the Alexandria database.

Values from the calculation:
* mass density: 3.6 g/cm3
* DFT total energy: -104.63 eV/cell
* energy above the lowest structure with this stoichiometry: 0 meV per atom
* volume: 42.98 A^3/atom
* formation energy (no corrections): -0.924 eV/atom

Lattice parameters (Å, degrees): 9.452 13.628 9.396 90.00 96.07 90.00
Space group C2/m (No. 12)
Symmetry-distinct sites (fractional):
Cs 0.000 0.193 0.000
Cs 0.000 0.202 0.500
Cs 0.135 0.500 0.842
B 0.194 0.000 0.765
Se 0.017 0.000 0.261
Se 0.202 0.373 0.219


Entry 5:
The following is a PBE calculation of a geometry-optimized MgUSn6 structure, from the Alexandria database.

Values from the calculation:
* formation enthalpy at 0 K: -0.033 eV/atom
* mass density: 7.9 g/cm3
* DFT total energy: -37.16 eV/cell
* volume: 25.58 A^3/atom

Lattice parameters (Å, degrees): 4.612 4.612 9.622 90.00 90.00 90.00
Space group P4/mmm (No. 123)
Symmetry-distinct sites (fractional):
Mg 0.000 0.000 0.000
U 0.000 0.000 0.500
Sn 0.000 0.500 0.249
Sn 0.500 0.500 0.000
Sn 0.500 0.500 0.500


Entry 6:
The following is a PBE calculation of a geometry-optimized ScFeSi2 structure, from the Alexandria database.

Values from the calculation:
* mass density: 4.7 g/cm3
* DFT total energy: -27.47 eV/cell
* volume: 13.74 A^3/atom
* formation energy (no corrections): -0.457 eV/atom

Lattice parameters (Å, degrees): 2.861 2.861 6.715 90.00 90.00 90.00
Space group P4/mmm (No. 123)
Symmetry-distinct sites (fractional):
Sc 0.000 0.000 0.000
Fe 0.000 0.000 0.500
Si 0.500 0.500 0.303


Please write out number 6 again, unchanged.
The following is a PBE calculation of a geometry-optimized ScFeSi2 structure, from the Alexandria database.

Values from the calculation:
* mass density: 4.7 g/cm3
* DFT total energy: -27.47 eV/cell
* volume: 13.74 A^3/atom
* formation energy (no corrections): -0.457 eV/atom

Lattice parameters (Å, degrees): 2.861 2.861 6.715 90.00 90.00 90.00
Space group P4/mmm (No. 123)
Symmetry-distinct sites (fractional):
Sc 0.000 0.000 0.000
Fe 0.000 0.000 0.500
Si 0.500 0.500 0.303